No. 1
## U2PaSe5 (PBE-GGA)

Data for an optimized crystal structure of U2PaSe5.

Cell lengths 7.1389, 7.1389, 13.6992 Å; angles 90.00, 90.00, 133.15 degrees
With the nearest neighbours (Å) after each atom.
Fractional coordinates of all 16 atoms:
U  0.1547  0.8453  0.5541  6 Se 2.81-2.96
U  0.1547  0.8453  0.9459  6 Se 2.81-2.96
U  0.8453  0.1547  0.0541  6 Se 2.81-2.96
U  0.8453  0.1547  0.4459  6 Se 2.81-2.96
Pa  0.2147  0.7853  0.2500  6 Se 2.79-2.92
Pa  0.7853  0.2147  0.7500  6 Se 2.79-2.92
Se  0.0473  0.9527  0.1242  1 Pa 2.79, 2 U 2.81-2.82
Se  0.0473  0.9527  0.3758  1 Pa 2.79, 2 U 2.81-2.82
Se  0.2502  0.7498  0.7500  2 Pa 2.88, 2 U 2.96
Se  0.3349  0.6651  0.0703  3 U 2.85-2.91, 1 Pa 2.92
Se  0.3349  0.6651  0.4297  3 U 2.85-2.91, 1 Pa 2.92
Se  0.6651  0.3349  0.5703  3 U 2.85-2.91, 1 Pa 2.92
Se  0.6651  0.3349  0.9297  3 U 2.85-2.91, 1 Pa 2.92
Se  0.7498  0.2502  0.2500  2 Pa 2.88, 2 U 2.96
Se  0.9527  0.0473  0.6242  1 Pa 2.79, 2 U 2.81-2.82
Se  0.9527  0.0473  0.8758  1 Pa 2.79, 2 U 2.81-2.82

DFT total energy	-0.538	Ry/atom
density	7.18	g/cm³
SG	Cmcm, No. 63
uncorrected formation energy	-1132	meV per atom

No. 2
## Nd6Si2AgBr3 (PBE-GGA)

Data for an optimized crystal structure of Nd6Si2AgBr3.

Cell lengths 9.7238, 9.7238, 8.8532 Å; angles 103.71, 103.71, 25.37 degrees
With the nearest neighbours (Å) after each atom.
Fractional coordinates of all 12 atoms:
Nd  0.0097  0.0097  0.2460  1 Si 2.89, 2 Ag 3.02, 2 Br 3.14
Nd  0.3254  0.3254  0.4350  3 Si 2.92, 3 Br 3.22
Nd  0.3351  0.3351  0.8879  2 Si 2.91, 1 Ag 3.04, 1 Br 3.09
Nd  0.6649  0.6649  0.1121  2 Si 2.91, 1 Ag 3.04, 1 Br 3.09
Nd  0.6746  0.6746  0.5650  3 Si 2.92, 3 Br 3.22
Nd  0.9903  0.9903  0.7540  1 Si 2.89, 2 Ag 3.02, 2 Br 3.14
Si  0.1667  0.1667  0.3358  6 Nd 2.89-2.92
Si  0.8333  0.8333  0.6642  6 Nd 2.89-2.92
Ag  0.5000  0.5000  0.0000  6 Nd 3.02-3.04
Br  0.1678  0.1678  0.8332  6 Nd 3.09-3.27
Br  0.5000  0.5000  0.5000  6 Nd 3.14-3.22
Br  0.8322  0.8322  0.1668  6 Nd 3.09-3.27

DFT total energy	-0.357	Ry/atom
density	6.06	g/cm³
SG	C2/m, No. 12
uncorrected formation energy	-916	meV per atom

No. 3
## PrDyY2Ho (PBE-GGA)

Data for an optimized crystal structure of PrDyY2Ho.

Cell lengths 7.1421, 7.1421, 7.2377 Å; angles 90.00, 90.00, 107.50 degrees
With the nearest neighbours (Å) after each atom.
Fractional coordinates of all 10 atoms:
Pr  0.2296  0.7704  0.7500  1 Dy 3.09
Pr  0.7704  0.2296  0.2500  1 Dy 3.09
Dy  0.4976  0.5024  0.7500  1 Pr 3.09, 4 Y 3.18, 1 Ho 3.20
Dy  0.5024  0.4976  0.2500  1 Pr 3.09, 4 Y 3.18, 1 Ho 3.20
Y  0.1904  0.1904  0.0000  2 Dy 3.18, 1 Y 3.22, 2 Ho 3.55
Y  0.1904  0.1904  0.5000  2 Dy 3.18, 1 Y 3.22, 2 Ho 3.55
Y  0.8096  0.8096  0.0000  2 Dy 3.18, 1 Y 3.22, 2 Ho 3.55
Y  0.8096  0.8096  0.5000  2 Dy 3.18, 1 Y 3.22, 2 Ho 3.55
Ho  0.2249  0.7751  0.2500  1 Dy 3.20, 4 Y 3.55
Ho  0.7751  0.2249  0.7500  1 Dy 3.20, 4 Y 3.55

DFT total energy	-0.367	Ry/atom
density	6.09	g/cm³
SG	Cmcm, No. 63
energy relative to the elements	380	meV/atom

No. 4
## Ta2TcIr (PBE-GGA)

Data for an optimized crystal structure of Ta2TcIr.

Cell lengths 2.9578, 2.9578, 26.2174 Å; angles 90.00, 90.00, 120.00 degrees
With the nearest neighbours (Å) after each atom.
Fractional coordinates of all 12 atoms:
Ta  0.0000  0.0000  0.2489  3 Tc 2.75, 3 Ir 2.80, 6 Ta 2.96
Ta  0.0000  0.0000  0.7511  3 Tc 2.75, 3 Ir 2.80, 6 Ta 2.96
Ta  0.3333  0.6667  0.4178  3 Tc 2.75, 3 Ir 2.80, 6 Ta 2.96
Ta  0.3333  0.6667  0.9156  3 Tc 2.75, 3 Ir 2.80, 6 Ta 2.96
Ta  0.6667  0.3333  0.0844  3 Tc 2.75, 3 Ir 2.80, 6 Ta 2.96
Ta  0.6667  0.3333  0.5822  3 Tc 2.75, 3 Ir 2.80, 6 Ta 2.96
Tc  0.0000  0.0000  0.5000  6 Ta 2.75, 6 Tc 2.96
Tc  0.3333  0.6667  0.1667  6 Ta 2.75, 6 Tc 2.96
Tc  0.6667  0.3333  0.8333  6 Ta 2.75, 6 Tc 2.96
Ir  0.0000  0.0000  0.0000  6 Ta 2.80, 6 Ir 2.96
Ir  0.3333  0.6667  0.6667  6 Ta 2.80, 6 Ir 2.96
Ir  0.6667  0.3333  0.3333  6 Ta 2.80, 6 Ir 2.96

DFT total energy	-0.795	Ry/atom
density	16.35	g/cm³
SG	R-3m, No. 166
energy relative to the elements	-79	meV/atom

No. 5
## GaSe2NF (PBE-GGA)

Data for an optimized crystal structure of GaSe2NF.

Cell lengths 4.4890, 4.4890, 5.0282 Å; angles 90.00, 90.00, 90.00 degrees
With the nearest neighbours (Å) after each atom.
Fractional coordinates of all 5 atoms:
Ga  0.0000  0.0000  0.0000  4 N 3.17, 8 Se 3.37
Se  0.0000  0.5000  0.5000  2 F 2.24
Se  0.5000  0.0000  0.5000  2 F 2.24
N  0.5000  0.5000  0.0000  2 F 2.51
F  0.5000  0.5000  0.5000  4 Se 2.24

DFT total energy	-0.222	Ry/atom
density	4.27	g/cm³
SG	P4/mmm, No. 123
uncorrected formation energy	1020	meV per atom

No. 6
## AcLa5P6 (PBE-GGA)

Data for an optimized crystal structure of AcLa5P6.

Cell lengths 7.4597, 7.4597, 7.4608 Å; angles 99.60, 99.60, 120.00 degrees
With the nearest neighbours (Å) after each atom.
Fractional coordinates of all 12 atoms:
Ac  0.0000  0.0000  0.0000  6 P 3.09-3.10
La  0.1664  0.8336  0.5000  6 P 3.00-3.05
La  0.3331  0.6669  0.0000  6 P 3.04
La  0.5000  0.5000  0.5000  6 P 3.00-3.05
La  0.6669  0.3331  0.0000  6 P 3.04
La  0.8336  0.1664  0.5000  6 P 3.00-3.05
P  0.0845  0.4237  0.2532  5 La 3.00-3.05, 1 Ac 3.09
P  0.2548  0.2548  0.7467  5 La 3.00-3.05, 1 Ac 3.10
P  0.4237  0.0845  0.2532  5 La 3.00-3.05, 1 Ac 3.09
P  0.5763  0.9155  0.7468  5 La 3.00-3.05, 1 Ac 3.09
P  0.7452  0.7452  0.2533  5 La 3.00-3.05, 1 Ac 3.10
P  0.9155  0.5763  0.7468  5 La 3.00-3.05, 1 Ac 3.09

DFT total energy	-0.489	Ry/atom
density	5.42	g/cm³
SG	C2/m, No. 12
energy relative to the elements	-1553	meV/atom